#P
Computed, not measured: an optimized crystal structure of DyMgZr2 at the PBE-GGA level of DFT.

Summary:
Mass density, kg/m3: 6203
Crystal system: trigonal
Magnetic moment, μB per cell: 0.00
SG: R-3m, No. 166

Cell lengths 11.010, 11.010, 11.010 Å; angles 16.94, 16.94, 16.94 degrees
Fractional coordinates of all 4 atoms:
Dy (0.000, 0.000, 0.000)
Mg (0.500, 0.500, 0.500)
Zr (0.249, 0.249, 0.249)
Zr (0.751, 0.751, 0.751)

=====

#Q
Computed, not measured: an optimized crystal structure of DyMgZr2 at the PBE-GGA level of DFT.

Summary:
Mass density, kg/m3: 6316
Crystal system: tetragonal
Magnetic moment, μB per cell: 0.00
SG: P4/mmm, No. 123

Cell lengths 4.571, 4.571, 4.646 Å; angles 90.00, 90.00, 90.00 degrees
Fractional coordinates of all 4 atoms:
Dy (0.000, 0.000, 0.000)
Mg (0.500, 0.500, 0.000)
Zr (0.000, 0.500, 0.500)
Zr (0.500, 0.000, 0.500)

=====

#Q is the most stable structure; the next one sits 2.9 kJ/mol of atoms above it.

=====

#P
Computed, not measured: an optimized crystal structure of DyMnNi2 at the PBE-GGA level of DFT.

Summary:
Mass density, kg/m3: 8861
Crystal system: tetragonal
Magnetic moment, μB per cell: 4.48
SG: P4/mmm, No. 123

Cell lengths 3.180, 3.180, 6.206 Å; angles 90.00, 90.00, 90.00 degrees
Fractional coordinates of all 4 atoms:
Dy (0.000, 0.000, 0.000)
Mn (0.000, 0.000, 0.500)
Ni (0.500, 0.500, 0.292)
Ni (0.500, 0.500, 0.708)

=====

#Q
Computed, not measured: an optimized crystal structure of DyMnNi2 at the PBE-GGA level of DFT.

Summary:
Mass density, kg/m3: 8402
Crystal system: trigonal
Magnetic moment, μB per cell: 3.20
SG: R-3m, No. 166

Cell lengths 5.127, 5.127, 5.127 Å; angles 47.12, 47.12, 47.12 degrees
Fractional coordinates of all 4 atoms:
Dy (0.000, 0.000, 0.000)
Mn (0.500, 0.500, 0.500)
Ni (0.203, 0.203, 0.203)
Ni (0.797, 0.797, 0.797)

=====

#R
Computed, not measured: an optimized crystal structure of DyMnNi2 at the PBE-GGA level of DFT.

Summary:
Mass density, kg/m3: 8433
Crystal system: orthorhombic
Magnetic moment, μB per cell: 0.45
SG: Pmma, No. 51

Cell lengths 4.856, 4.573, 11.879 Å; angles 90.00, 90.00, 90.00 degrees
Fractional coordinates of all 16 atoms:
Dy (0.250, 0.000, 0.092)
Dy (0.250, 0.500, 0.308)
Dy (0.750, 0.000, 0.908)
Dy (0.750, 0.500, 0.692)
Mn (0.250, 0.000, 0.673)
Mn (0.250, 0.500, 0.555)
Mn (0.750, 0.000, 0.327)
Mn (0.750, 0.500, 0.445)
Ni (0.000, 0.000, 0.500)
Ni (0.000, 0.500, 0.000)
Ni (0.250, 0.257, 0.845)
Ni (0.250, 0.743, 0.845)
Ni (0.500, 0.000, 0.500)
Ni (0.500, 0.500, 0.000)
Ni (0.750, 0.257, 0.155)
Ni (0.750, 0.743, 0.155)

=====

#Q is the most stable structure; the next one sits 10.7 kJ/mol of atoms above it.